Entry 1:
Computed, not measured: TmCd6 after structural relaxation at the PBE-GGA level of DFT. Values from VASP.

Results
The formation energy comes out at -0.047 eV/atom. Its total magnetization is 0.00 μB per cell.

Quantum ESPRESSO input file:
```
&SYSTEM
  ibrav = 0, nat = 14, ntyp = 2
/
ATOMIC_SPECIES
Tm 168.93 Tm.upf
Cd 112.41 Cd.upf
ATOMIC_POSITIONS crystal
Tm 0.250 0.750 0.000
Tm 0.750 0.250 0.000
Cd 0.076 0.576 0.358
Cd 0.076 0.924 0.642
Cd 0.250 0.250 0.150
Cd 0.250 0.250 0.850
Cd 0.424 0.576 0.642
Cd 0.424 0.924 0.358
Cd 0.576 0.076 0.642
Cd 0.576 0.424 0.358
Cd 0.750 0.750 0.150
Cd 0.750 0.750 0.850
Cd 0.924 0.076 0.358
Cd 0.924 0.424 0.642
CELL_PARAMETERS angstrom
6.028 0.000 0.000
0.000 6.028 0.000
0.000 0.000 9.204
```

Entry 2:
Computed, not measured: Tm2Cd3 after structural relaxation at the PBE-GGA level of DFT. Values from VASP.

Results
The formation energy comes out at -0.267 eV/atom. Its total magnetization is 0.00 μB per cell.

Quantum ESPRESSO input file:
```
&SYSTEM
  ibrav = 0, nat = 10, ntyp = 2
/
ATOMIC_SPECIES
Tm 168.93 Tm.upf
Cd 112.41 Cd.upf
ATOMIC_POSITIONS crystal
Tm 0.075 0.925 0.750
Tm 0.216 0.784 0.250
Tm 0.784 0.216 0.750
Tm 0.925 0.075 0.250
Cd 0.325 0.675 0.250
Cd 0.379 0.621 0.750
Cd 0.476 0.524 0.750
Cd 0.524 0.476 0.250
Cd 0.621 0.379 0.250
Cd 0.675 0.325 0.750
CELL_PARAMETERS angstrom
1.713 -14.643 0.000
1.713 14.643 0.000
0.000 0.000 4.919
```